Here is an optimized crystal structure of SbF5 from the Alexandria database. Energies are from GGA-PBE.

Output
Its space group is P2_1/c, No. 14. Its spin magnetization is 0.00 μB per cell. Its formation energy from raw total energies is -1288 kJ/mol of formula units.

Cell: 5.4626 10.2571 7.8992 Å, 90.00 112.25 90.00°
Positions (direct):
Sb 0.1509 0.2487 0.4245
Sb 0.1509 0.2513 0.9245
Sb 0.8491 0.7487 0.0755
Sb 0.8491 0.7513 0.5755
F 0.0459 0.5985 0.1824
F 0.0459 0.9015 0.6824
F 0.1502 0.1925 0.6750
F 0.1502 0.3075 0.1750
F 0.1658 0.6581 0.6253
F 0.1658 0.8419 0.1253
F 0.3480 0.1030 0.0359
F 0.3480 0.3970 0.5359
F 0.4656 0.1542 0.4712
F 0.4656 0.3458 0.9712
F 0.5344 0.6542 0.0288
F 0.5344 0.8458 0.5288
F 0.6520 0.6030 0.4641
F 0.6520 0.8970 0.9641
F 0.8342 0.1581 0.8747
F 0.8342 0.3419 0.3747
F 0.8498 0.6925 0.8250
F 0.8498 0.8075 0.3250
F 0.9541 0.0985 0.3176
F 0.9541 0.4015 0.8176

---

Here is an optimized crystal structure of SbF from the Alexandria database. Energies are from GGA-PBE.

Output
Its space group is Fddd, No. 70. Its spin magnetization is 0.00 μB per cell. Its formation energy from raw total energies is -230 kJ/mol of formula units. For the energy above the most stable polymorph in this dataset, the calculation gives 0.38 eV per formula unit.

Cell: 6.5867 6.4199 5.7514 Å, 65.26 62.28 52.47°
Positions (direct):
Sb 0.0537 0.6963 0.0537
Sb 0.3037 0.9463 0.3037
Sb 0.6963 0.0537 0.6963
Sb 0.9463 0.3037 0.9463
F 0.2211 0.2211 0.5289
F 0.4711 0.4711 0.7789
F 0.5289 0.5289 0.2211
F 0.7789 0.7789 0.4711

---

Here is an optimized crystal structure of Sb4F15 from the Alexandria database. Energies are from GGA-PBE.

Output
Its space group is Pca2_1, No. 29. Its spin magnetization is 0.00 μB per cell. Its formation energy from raw total energies is -4280 kJ/mol of formula units.

Cell: 11.3846 11.1502 19.7226 Å, 90.00 90.00 90.00°
Positions (direct):
Sb 0.0649 0.0779 0.0000
Sb 0.0741 0.1220 0.3335
Sb 0.0805 0.3607 0.1665
Sb 0.0879 0.3411 0.8407
Sb 0.1073 0.3865 0.5216
Sb 0.1605 0.1045 0.6703
Sb 0.2381 0.7423 0.1726
Sb 0.2478 0.7831 0.4241
Sb 0.2522 0.7831 0.9241
Sb 0.2619 0.7423 0.6726
Sb 0.3395 0.1045 0.1703
Sb 0.3927 0.3865 0.0216
Sb 0.4121 0.3411 0.3407
Sb 0.4195 0.3607 0.6665
Sb 0.4259 0.1220 0.8335
Sb 0.4351 0.0779 0.5000
Sb 0.5649 0.9221 0.0000
Sb 0.5741 0.8780 0.3335
Sb 0.5805 0.6393 0.1665
Sb 0.5879 0.6589 0.8407
Sb 0.6073 0.6135 0.5216
Sb 0.6605 0.8955 0.6703
Sb 0.7381 0.2577 0.1726
Sb 0.7478 0.2169 0.4241
Sb 0.7522 0.2169 0.9241
Sb 0.7619 0.2577 0.6726
Sb 0.8395 0.8955 0.1703
Sb 0.8927 0.6135 0.0216
Sb 0.9121 0.6589 0.3407
Sb 0.9195 0.6393 0.6665
Sb 0.9259 0.8780 0.8335
Sb 0.9351 0.9221 0.5000
F 0.0169 0.0214 0.4262
F 0.0174 0.9919 0.7832
F 0.0245 0.5025 0.5769
F 0.0264 0.0139 0.5643
F 0.0384 0.6539 0.9790
F 0.0432 0.2428 0.2446
F 0.0439 0.2430 0.0966
F 0.0483 0.4869 0.7955
F 0.0651 0.2537 0.7570
F 0.0743 0.2672 0.5906
F 0.0763 0.7950 0.8624
F 0.0770 0.6884 0.3605
F 0.0937 0.8210 0.4813
F 0.1075 0.4180 0.9254
F 0.1075 0.8473 0.1686
F 0.1203 0.6386 0.6760
F 0.1219 0.1873 0.8830
F 0.1437 0.5074 0.4571
F 0.1452 0.6001 0.1821
F 0.1565 0.8796 0.6653
F 0.1784 0.9082 0.9858
F 0.1827 0.2631 0.4695
F 0.2066 0.9206 0.3685
F 0.2243 0.0696 0.0984
F 0.2248 0.0629 0.2428
F 0.2419 0.2682 0.1757
F 0.2423 0.7210 0.0769
F 0.2476 0.4218 0.0689
F 0.2487 0.3563 0.3183
F 0.2493 0.7515 0.7683
F 0.2513 0.3563 0.8183
F 0.2507 0.7515 0.2683
F 0.2524 0.4218 0.5689
F 0.2581 0.2682 0.6757
F 0.2577 0.7210 0.5769
F 0.2752 0.0629 0.7428
F 0.2757 0.0696 0.5984
F 0.2934 0.9206 0.8685
F 0.3173 0.2631 0.9695
F 0.3216 0.9082 0.4858
F 0.3435 0.8796 0.1653
F 0.3548 0.6001 0.6821
F 0.3563 0.5074 0.9571
F 0.3781 0.1873 0.3830
F 0.3797 0.6386 0.1760
F 0.3925 0.4180 0.4254
F 0.3925 0.8473 0.6686
F 0.4063 0.8210 0.9813
F 0.4230 0.6884 0.8605
F 0.4237 0.7950 0.3624
F 0.4257 0.2672 0.0906
F 0.4349 0.2537 0.2570
F 0.4517 0.4869 0.2955
F 0.4561 0.2430 0.5966
F 0.4568 0.2428 0.7446
F 0.4616 0.6539 0.4790
F 0.4736 0.0139 0.0643
F 0.4755 0.5025 0.0769
F 0.4831 0.0214 0.9262
F 0.4826 0.9919 0.2832
F 0.5174 0.0081 0.7832
F 0.5169 0.9786 0.4262
F 0.5245 0.4975 0.5769
F 0.5264 0.9861 0.5643
F 0.5384 0.3461 0.9790
F 0.5432 0.7572 0.2446
F 0.5439 0.7570 0.0966
F 0.5483 0.5131 0.7955
F 0.5651 0.7463 0.7570
F 0.5743 0.7328 0.5906
F 0.5763 0.2050 0.8624
F 0.5770 0.3116 0.3605
F 0.5937 0.1790 0.4813
F 0.6075 0.1527 0.1686
F 0.6075 0.5820 0.9254
F 0.6203 0.3614 0.6760
F 0.6219 0.8127 0.8830
F 0.6437 0.4926 0.4571
F 0.6452 0.3999 0.1821
F 0.6565 0.1204 0.6653
F 0.6784 0.0918 0.9858
F 0.6827 0.7369 0.4695
F 0.7066 0.0794 0.3685
F 0.7243 0.9304 0.0984
F 0.7248 0.9371 0.2428
F 0.7423 0.2790 0.0769
F 0.7419 0.7318 0.1757
F 0.7476 0.5782 0.0689
F 0.7493 0.2485 0.7683
F 0.7487 0.6437 0.3183
F 0.7507 0.2485 0.2683
F 0.7513 0.6437 0.8183
F 0.7524 0.5782 0.5689
F 0.7577 0.2790 0.5769
F 0.7581 0.7318 0.6757
F 0.7752 0.9371 0.7428
F 0.7757 0.9304 0.5984
F 0.7934 0.0794 0.8685
F 0.8173 0.7369 0.9695
F 0.8216 0.0918 0.4858
F 0.8435 0.1204 0.1653
F 0.8548 0.3999 0.6821
F 0.8563 0.4926 0.9571
F 0.8781 0.8127 0.3830
F 0.8797 0.3614 0.1760
F 0.8925 0.1527 0.6686
F 0.8925 0.5820 0.4254
F 0.9063 0.1790 0.9813
F 0.9230 0.3116 0.8605
F 0.9237 0.2050 0.3624
F 0.9257 0.7328 0.0906
F 0.9349 0.7463 0.2570
F 0.9517 0.5131 0.2955
F 0.9561 0.7570 0.5966
F 0.9568 0.7572 0.7446
F 0.9616 0.3461 0.4790
F 0.9736 0.9861 0.0643
F 0.9755 0.4975 0.0769
F 0.9826 0.0081 0.2832
F 0.9831 0.9786 0.9262

---

Here is an optimized crystal structure of ScSbF from the Alexandria database. Energies are from GGA-PBE.

Output
Its space group is P1, No. 1. Its spin magnetization is 0.00 μB per cell. Its formation energy from raw total energies is -571 kJ/mol of formula units.

Cell: 4.1839 5.7358 6.2913 Å, 73.29 89.10 89.56°
Positions (direct):
Sc 0.0000 0.0000 0.0000
Sc 0.0007 0.6627 0.5240
Sb 0.4986 0.0534 0.3307
Sb 0.5006 0.2733 0.6893
F 0.0121 0.6482 0.2091
F 0.9928 0.7849 0.7901

---

Here is an optimized crystal structure of Sc2SbF2 from the Alexandria database. Energies are from GGA-PBE.

Output
Its space group is I4/mmm, No. 139. Its spin magnetization is 1.00 μB per cell. Its formation energy from raw total energies is -1154 kJ/mol of formula units.

Cell: 6.4482 6.4482 6.4482 Å, 146.44 146.44 48.19°
Positions (direct):
Sc 0.1335 0.1335 0.0000
Sc 0.8665 0.8665 0.0000
Sb 0.5000 0.5000 0.0000
F 0.2500 0.7500 0.5000
F 0.7500 0.2500 0.5000

---

Here is an optimized crystal structure of ScSb2SeF from the Alexandria database. Energies are from GGA-PBE.

Output
Its space group is P4/mmm, No. 123. Its spin magnetization is 0.00 μB per cell. Its formation energy from raw total energies is -257 kJ/mol of formula units.

Cell: 5.5188 5.5188 3.9431 Å, 90.00 90.00 90.00°
Positions (direct):
Sc 0.0000 0.0000 0.0000
Sb 0.0000 0.5000 0.5000
Sb 0.5000 0.0000 0.5000
Se 0.5000 0.5000 0.0000
F 0.0000 0.0000 0.5000